TeIrOsPb: relaxed, GGA-PBE.

## Properties
The calculation puts the magnetization at 0.00 μB/cell. The calculation puts the density of states at the Fermi level at 0.835 states/eV/atom. The calculation puts the excess energy over the best structure of this formula in the dataset at 134 meV per atom. Its space group is No. 8.

Cell: 8.2638 3.0376 8.2214 Å, 90.00 108.57 90.00°
Positions (direct):
Os: 0.0190 0.5000 0.6486
Os: 0.0190 0.0000 0.1486
Te: 0.2933 0.0000 0.7409
Te: 0.2933 0.5000 0.2409
Ir: 0.8959 0.5000 0.8836
Ir: 0.8959 0.0000 0.3836
Pb: 0.6577 0.5000 0.0899
Pb: 0.6577 0.0000 0.5899